Ca2TlGaH: optimized geometry, PBE.

abc: 4.8920 4.8920 4.4990
angles: 90.00 90.00 90.00
Last column: nearest neighbours and their distance in Å.
Fractional coordinates of all 5 atoms:
Ca  0.0000  0.5000  0.0000  2 H 2.45
Ca  0.5000  0.0000  0.0000  2 H 2.45
Tl  0.0000  0.0000  0.5000  8 Ca 3.32, 4 Ga 3.46
Ga  0.5000  0.5000  0.5000  2 H 2.25
H  0.5000  0.5000  0.0000  2 Ga 2.25, 4 Ca 2.45

Its energy is -2.86 eV per atom. As for the theoretical density: 5.5 Mg/m³. The value obtained for the density of states at the Fermi level is 0.356 states/eV/atom.

CeScCuMo: optimized geometry, PBE.

abc: 4.7852 4.7852 4.7852
angles: 60.00 60.00 60.00
Last column: nearest neighbours and their distance in Å.
Fractional coordinates of all 4 atoms:
Ce  0.0000  0.0000  0.0000  4 Mo 2.93, 4 Cu 2.93
Sc  0.5000  0.5000  0.5000  4 Mo 2.93, 4 Cu 2.93
Cu  0.2500  0.2500  0.2500  4 Ce 2.93, 4 Sc 2.93
Mo  0.7500  0.7500  0.7500  4 Ce 2.93, 4 Sc 2.93

Its energy is -6.75 eV per atom. As for the theoretical density: 7.4 Mg/m³. The value obtained for the density of states at the Fermi level is 0.901 states/eV/atom. The calculation puts the formation energy at 18.8 kJ/mol of formula units.

Er6Mg2Fe: optimized geometry, PBE.

abc: 8.7984 8.7984 3.6031
angles: 90.00 90.00 120.00
Last column: nearest neighbours and their distance in Å.
Fractional coordinates of all 9 atoms:
Er  0.0000  0.3829  0.0000  4 Mg 3.28, 1 Fe 3.37, 6 Er 3.45-3.60
Er  0.0000  0.7648  0.5000  2 Fe 2.74
Er  0.2352  0.2352  0.5000  2 Fe 2.74
Er  0.3829  0.0000  0.0000  4 Mg 3.28, 1 Fe 3.37, 6 Er 3.45-3.60
Er  0.6171  0.6171  0.0000  4 Mg 3.28, 1 Fe 3.37, 6 Er 3.45-3.60
Er  0.7648  0.0000  0.5000  2 Fe 2.74
Mg  0.3333  0.6667  0.5000  9 Er 3.28-3.45, 2 Mg 3.60
Mg  0.6667  0.3333  0.5000  9 Er 3.28-3.45, 2 Mg 3.60
Fe  0.0000  0.0000  0.0000  6 Er 2.74

Its energy is -4.32 eV per atom. As for the theoretical density: 7.6 Mg/m³. The value obtained for the density of states at the Fermi level is 1.401 states/eV/atom. The calculation puts the formation energy at 16.5 kJ/mol of formula units.